DFT (PBE) results for a relaxed CaDyTh2Bi4 crystal.

Computed properties:
Total magnetization: 0.000 μB/atom
Electronic total energy: -5.36 eV per atom

Unit cell a=7.8689 b=4.5811 c=7.9461 alpha=90.00 beta=109.56 gamma=90.00
Space group P2/m (No. 10)
Inequivalent atoms, fractional coordinates:
Ca1 0.0000 0.0000 0.0000 (multiplicity 1)
Dy1 0.0000 0.5000 0.5000 (multiplicity 1)
Th1 0.5000 0.0000 0.5000 (multiplicity 1)
Th2 0.5000 0.5000 0.0000 (multiplicity 1)
Bi1 0.2434 0.0000 0.7460 (multiplicity 2)
Bi2 0.2469 0.5000 0.2511 (multiplicity 2)

***

DFT (PBE) results for a relaxed BaNaTa crystal.

Computed properties:
Distance to the lowest polymorph of the same formula: 1261.4 meV per atom
Total magnetization: 1.540 μB/atom
Electronic total energy: -3.39 eV per atom

Unit cell a=8.0631 b=8.0631 c=8.0631 alpha=90.00 beta=90.00 gamma=90.00
Space group F-43m (No. 216)
Inequivalent atoms, fractional coordinates:
Ba1 0.0000 0.0000 0.0000 (multiplicity 4)
Na1 0.0000 0.0000 0.5000 (multiplicity 4)
Ta1 0.2500 0.2500 0.2500 (multiplicity 4)

***

DFT (PBE) results for a relaxed La4MgZn2Ag crystal.

Computed properties:
Total magnetization: 0.000 μB/atom
Electronic total energy: -3.58 eV per atom

Unit cell a=5.4096 b=5.4096 c=26.5375 alpha=90.00 beta=90.00 gamma=120.00
Space group R-3m (No. 166, hexagonal axes)
Inequivalent atoms, fractional coordinates:
La1 0.0000 0.0000 0.1216 (multiplicity 6)
La2 0.0000 0.0000 0.3724 (multiplicity 6)
Mg1 0.0000 0.0000 0.5000 (multiplicity 3)
Zn1 0.0000 0.0000 0.2432 (multiplicity 6)
Ag1 0.0000 0.0000 0.0000 (multiplicity 3)

***

Please write out number 3 again, unchanged.
DFT (PBE) results for a relaxed La4MgZn2Ag crystal.

Computed properties:
Total magnetization: 0.000 μB/atom
Electronic total energy: -3.58 eV per atom

Unit cell a=5.4096 b=5.4096 c=26.5375 alpha=90.00 beta=90.00 gamma=120.00
Space group R-3m (No. 166, hexagonal axes)
Inequivalent atoms, fractional coordinates:
La1 0.0000 0.0000 0.1216 (multiplicity 6)
La2 0.0000 0.0000 0.3724 (multiplicity 6)
Mg1 0.0000 0.0000 0.5000 (multiplicity 3)
Zn1 0.0000 0.0000 0.2432 (multiplicity 6)
Ag1 0.0000 0.0000 0.0000 (multiplicity 3)